A plane-wave DFT calculation with PBE was carried out for a relaxed structure of Nd4GeI2Br.

Structure (CIF):
```
data_Nd4GeI2Br
_cell_length_a 7.294
_cell_length_b 4.403
_cell_length_c 8.181
_cell_angle_alpha 90.00
_cell_angle_beta 108.74
_cell_angle_gamma 90.00
_space_group_name_H-M_alt 'P 1 2/m 1'
_space_group_IT_number 10
_space_group_name_Hall '-P 2y'
loop_
_atom_site_label
_atom_site_type_symbol
_atom_site_fract_x
_atom_site_fract_y
_atom_site_fract_z
Nd1 Nd 0.229 0.000 0.199
Nd2 Nd 0.266 0.500 0.804
Ge1 Ge 0.000 0.500 0.000
I1 I 0.000 0.000 0.500
I2 I 0.500 0.500 0.500
Br1 Br 0.500 0.000 0.000
```

Properties
ρ: 6.6 g/cm³
E_form (uncorrected): -0.982 eV/atom
Final energy: -36.32 eV for the cell shown